Entry 1:
Material: Th2CrCd
Method: DFT, GGA-PBE
State: relaxed

The theoretical density comes out at 10.2 g/cm³. Its total magnetization is 0.47 μB per atom. As for the space group: P4/mmm, No. 123. The formation energy from the elements is 183 meV per atom. The value obtained for the total energy is -24.64 eV/f.u.

abc: 3.366 3.366 9.004
angles: 90.00 90.00 90.00
Fractional coordinates of all 4 atoms:
Th (0.000, 0.000, 0.213)
Th (0.000, 0.000, 0.787)
Cr (0.500, 0.500, 0.000)
Cd (0.500, 0.500, 0.500)

---

Entry 2:
Material: Th3IrRuPb
Method: DFT, GGA-PBE
State: relaxed

The theoretical density comes out at 11.9 g/cm³. Its total magnetization is 0.00 μB per atom. As for the space group: P2_1/m, No. 11. The formation energy from the elements is -491 meV per atom. The value obtained for the total energy is -47.05 eV/f.u.

abc: 4.348 8.450 10.141
angles: 116.51 90.00 90.00
Fractional coordinates of all 12 atoms:
Th (0.250, 0.512, 0.854)
Th (0.250, 0.745, 0.481)
Th (0.750, 0.927, 0.131)
Th (0.250, 0.073, 0.869)
Th (0.750, 0.488, 0.146)
Th (0.750, 0.255, 0.519)
Ir (0.250, 0.726, 0.165)
Ir (0.750, 0.274, 0.835)
Ru (0.750, 0.898, 0.388)
Ru (0.250, 0.102, 0.612)
Pb (0.250, 0.279, 0.269)
Pb (0.750, 0.721, 0.731)

---

Entry 3:
Material: OsPdRh2
Method: DFT, GGA-PBE
State: relaxed

The theoretical density comes out at 12.1 g/cm³. Its total magnetization is 0.00 μB per atom. Its distance to the lowest polymorph of the same formula is 0.675 eV/atom. As for the space group: R3m, No. 160. The formation energy from the elements is 691 meV per atom. The value obtained for the total energy is -28.36 eV/f.u.

abc: 3.740 3.740 6.083
angles: 72.09 72.09 60.00
Fractional coordinates of all 4 atoms:
Pd (0.665, 0.665, 0.006)
Rh (0.091, 0.091, 0.727)
Rh (0.242, 0.242, 0.274)
Os (0.502, 0.502, 0.493)

---

Entry 4:
Material: Rb2LaPb
Method: DFT, GGA-PBE
State: relaxed

The theoretical density comes out at 3.3 g/cm³. Its total magnetization is 0.00 μB per atom. As for the space group: I-42d, No. 122. The formation energy from the elements is 272 meV per atom. The value obtained for the total energy is -9.48 eV/f.u.

abc: 12.839 12.839 9.602
angles: 48.04 48.04 90.00
Fractional coordinates of all 8 atoms:
Pb (0.750, 0.250, 0.500)
Pb (0.000, 0.000, 0.000)
Rb (0.741, 0.125, 0.250)
Rb (0.875, 0.991, 0.750)
Rb (0.009, 0.625, 0.250)
Rb (0.375, 0.259, 0.750)
La (0.250, 0.750, 0.500)
La (0.500, 0.500, 0.000)

---

Entry 5:
Material: UNbW
Method: DFT, GGA-PBE
State: relaxed

The theoretical density comes out at 14.7 g/cm³. Its total magnetization is 0.59 μB per atom. Its distance to the lowest polymorph of the same formula is 0.101 eV/atom. As for the space group: I4mm, No. 107. The formation energy from the elements is 369 meV per atom. The value obtained for the total energy is -33.20 eV/f.u.

abc: 3.258 3.258 5.946
angles: 105.90 105.90 90.00
Fractional coordinates of all 3 atoms:
W (0.607, 0.607, 0.213)
Nb (0.966, 0.966, 0.931)
U (0.278, 0.278, 0.556)

---

Entry 6:
Material: Sr3InSn
Method: DFT, GGA-PBE
State: relaxed

The theoretical density comes out at 3.3 g/cm³. Its total magnetization is 0.00 μB per atom. Its distance to the lowest polymorph of the same formula is 0.204 eV/atom. As for the space group: Pm-3m, No. 221. The formation energy from the elements is -116 meV per atom. The value obtained for the total energy is -12.37 eV/f.u.

abc: 6.321 6.321 6.321
angles: 90.00 90.00 90.00
Fractional coordinates of all 5 atoms:
In (0.500, 0.500, 0.500)
Sn (0.000, 0.000, 0.000)
Sr (0.500, 0.000, 0.000)
Sr (0.000, 0.500, 0.000)
Sr (0.000, 0.000, 0.500)

---

Entry 7:
Material: La2ScTa
Method: DFT, GGA-PBE
State: relaxed

The theoretical density comes out at 7.2 g/cm³. Its total magnetization is 0.00 μB per atom. Its distance to the lowest polymorph of the same formula is 0.501 eV/atom. As for the space group: I-42d, No. 122. The formation energy from the elements is 768 meV per atom. The value obtained for the total energy is -24.97 eV/f.u.

abc: 8.632 8.632 6.852
angles: 50.95 50.95 90.00
Fractional coordinates of all 8 atoms:
Ta (0.000, 0.000, 0.000)
Ta (0.750, 0.250, 0.500)
La (0.875, 0.917, 0.750)
La (0.375, 0.333, 0.750)
La (0.083, 0.625, 0.250)
La (0.667, 0.125, 0.250)
Sc (0.250, 0.750, 0.500)
Sc (0.500, 0.500, 0.000)

---

Entry 8:
Material: TiZnHRu2
Method: DFT, GGA-PBE
State: relaxed

The theoretical density comes out at 8.8 g/cm³. Its total magnetization is 0.00 μB per atom. As for the space group: P4/mmm, No. 123. The value obtained for the total energy is -32.28 eV/f.u.

abc: 3.967 3.967 3.773
angles: 90.00 90.00 90.00
Fractional coordinates of all 5 atoms:
H (0.000, 0.000, 0.000)
Zn (0.500, 0.500, 0.500)
Ru (0.500, 0.000, 0.000)
Ru (0.000, 0.500, 0.000)
Ti (0.000, 0.000, 0.500)

---

Entry 9:
Material: Ta2NiW
Method: DFT, GGA-PBE
State: relaxed

The theoretical density comes out at 15.6 g/cm³. Its total magnetization is 0.00 μB per atom. As for the space group: I-4m2, No. 119. The formation energy from the elements is 111 meV per atom. The value obtained for the total energy is -42.00 eV/f.u.

abc: 5.036 5.036 5.036
angles: 134.30 134.30 66.62
Fractional coordinates of all 4 atoms:
Ta (0.000, 0.000, 0.000)
Ta (0.250, 0.750, 0.500)
W (0.500, 0.500, 0.000)
Ni (0.750, 0.250, 0.500)

---

Entry 10:
Material: ZnNiIr2
Method: DFT, GGA-PBE
State: relaxed

The theoretical density comes out at 15.6 g/cm³. Its total magnetization is 0.00 μB per atom. As for the space group: Cmmm, No. 65. The formation energy from the elements is 7 meV per atom. The value obtained for the total energy is -24.75 eV/f.u.

abc: 4.546 4.546 2.724
angles: 90.00 90.00 106.46
Fractional coordinates of all 4 atoms:
Ir (0.000, 0.000, 0.000)
Ir (0.500, 0.500, 0.000)
Ni (0.500, 0.000, 0.500)
Zn (0.000, 0.500, 0.500)

---

Entry 11:
Material: Sm2PbN
Method: DFT, GGA-PBE
State: relaxed

The theoretical density comes out at 9.3 g/cm³. Its total magnetization is 0.00 μB per atom. As for the space group: R-3m, No. 166. Its energy relative to the elements, uncorrected is -1.016 eV per atom. The value obtained for the total energy is -25.54 eV/f.u.

abc: 3.646 3.648 8.325
angles: 102.60 90.00 119.98
Fractional coordinates of all 4 atoms:
N (0.000, 0.500, 0.500)
Sm (0.722, 0.945, 0.668)
Sm (0.278, 0.055, 0.332)
Pb (0.500, 0.500, 0.000)

---

Entry 12:
Material: Sr2Ga4CuRh3
Method: DFT, GGA-PBE
State: relaxed

The theoretical density comes out at 7.0 g/cm³. Its total magnetization is 0.00 μB per atom. As for the space group: P-4m2, No. 115. The formation energy from the elements is -560 meV per atom. The value obtained for the total energy is -47.22 eV/f.u.

abc: 4.340 4.340 10.374
angles: 90.00 90.00 90.00
Fractional coordinates of all 10 atoms:
Ga (0.500, 0.000, 0.624)
Ga (0.000, 0.000, 0.000)
Ga (0.500, 0.500, 0.000)
Ga (0.000, 0.500, 0.376)
Rh (0.000, 0.000, 0.500)
Rh (0.500, 0.000, 0.872)
Rh (0.000, 0.500, 0.128)
Sr (0.000, 0.500, 0.747)
Sr (0.500, 0.000, 0.253)
Cu (0.500, 0.500, 0.500)

---

Entry 13:
Material: LiAg3Au4
Method: DFT, GGA-PBE
State: relaxed

The theoretical density comes out at 13.3 g/cm³. Its total magnetization is 0.00 μB per atom. Its distance to the lowest polymorph of the same formula is 0.000 eV/atom. As for the space group: C2/m, No. 12. The formation energy from the elements is -172 meV per atom. The value obtained for the total energy is -24.95 eV/f.u.

abc: 4.158 4.158 8.569
angles: 103.84 103.85 89.97
Fractional coordinates of all 8 atoms:
Au (0.379, 0.378, 0.757)
Au (0.122, 0.121, 0.243)
Au (0.621, 0.622, 0.243)
Au (0.878, 0.879, 0.757)
Ag (0.000, 0.500, 0.000)
Ag (0.249, 0.749, 0.499)
Ag (0.751, 0.251, 0.501)
Li (0.500, 0.000, 0.000)

---

Entry 14:
Material: GaBPd2C
Method: DFT, GGA-PBE
State: relaxed

The theoretical density comes out at 7.5 g/cm³. Its total magnetization is 0.00 μB per atom. As for the space group: P4/mmm, No. 123. The formation energy from the elements is 973 meV per atom. The value obtained for the total energy is -24.45 eV/f.u.

abc: 4.256 3.744 4.256
angles: 90.00 90.00 90.00
Fractional coordinates of all 5 atoms:
C (0.000, 0.000, 0.000)
Pd (0.500, 0.000, 0.000)
Pd (0.000, 0.000, 0.500)
Ga (0.000, 0.500, 0.000)
B (0.500, 0.500, 0.500)

---

Entry 15:
Material: Ba2HgSb
Method: DFT, GGA-PBE
State: relaxed

The theoretical density comes out at 6.4 g/cm³. Its total magnetization is 0.00 μB per atom. Its distance to the lowest polymorph of the same formula is 0.039 eV/atom. As for the space group: P4/mmm, No. 123. Its energy relative to the elements, uncorrected is -0.764 eV per atom. The value obtained for the total energy is -11.33 eV/f.u.

abc: 4.351 4.351 8.152
angles: 90.00 90.00 90.00
Fractional coordinates of all 4 atoms:
Sb (0.500, 0.500, 0.000)
Ba (0.000, 0.000, 0.772)
Ba (0.000, 0.000, 0.228)
Hg (0.500, 0.500, 0.500)